# 1
Crystalline NbV3Co6 at its relaxed geometry. Source: Alexandria via LeMat-Bulk, functional PBE.

The space group is P2_1/m (No. 11) and the conventional cell measures 7.9555, 3.6357 and 8.2501 Å, with angles of 90.00, 91.80 and 90.00 degrees. Symmetry generates all atoms from Nb at (0.0581, 0.2500, 0.3769), V at (0.2486, 0.2500, 0.0160), V at (0.3494, 0.7500, 0.7988), V at (0.4435, 0.2500, 0.5958), Co at (0.0570, 0.7500, 0.9106), Co at (0.1546, 0.2500, 0.7112), Co at (0.1588, 0.7500, 0.1925), Co at (0.2529, 0.7500, 0.4959), Co at (0.3614, 0.2500, 0.2958) and Co at (0.4523, 0.7500, 0.0996).

As for the calculated formation energy: -0.120 eV/atom. The total magnetization comes out at 0.001 Bohr magnetons per cell. Its total DFT energy (no corrections) is -8.13 eV per atom.

# 2
Crystalline PmHoZn3 at its relaxed geometry. Source: Alexandria via LeMat-Bulk, functional PBE.

The space group is Cmcm (No. 63) and the conventional cell measures 3.6299, 27.0026 and 4.5234 Å, with angles of 90.00, 90.00 and 90.00 degrees. Symmetry generates all atoms from Pm at (0.0000, 0.0738, 0.2500), Ho at (0.0000, 0.2097, 0.7500), Zn at (0.0000, 0.3256, 0.7500), Zn at (0.0000, 0.3794, 0.2500) and Zn at (0.0000, 0.4764, 0.2500).

As for the calculated formation energy: -0.327 eV/atom. The total magnetization comes out at 0.001 Bohr magnetons per cell. Its total DFT energy (no corrections) is -2.96 eV per atom.

# 3
Crystalline Li2CuPd2 at its relaxed geometry. Source: Alexandria via LeMat-Bulk, functional PBE.

The space group is P4/mbm (No. 127) and the conventional cell measures 6.6196, 6.6196 and 2.9916 Å, with angles of 90.00, 90.00 and 90.00 degrees. Symmetry generates all atoms from Li at (0.1264, 0.3736, 0.0000), Cu at (0.0000, 0.0000, 0.0000) and Pd at (0.1758, 0.6758, 0.5000).

As for the calculated formation energy: -0.205 eV/atom. The total magnetization comes out at 0.000 Bohr magnetons per cell. Its total DFT energy (no corrections) is -3.87 eV per atom.